This record from the Alexandria database describes a relaxed DyMnP crystal. The functional is PBE.

It has space group P4/nmm (No. 129, origin choice 2), with a = 3.7768 Å, b = 3.7768 Å, c = 7.0925 Å, α = 90.00°, β = 90.00° and γ = 90.00°. Symmetry generates all atoms from Dy at (0.2500, 0.2500, 0.1645), Mn at (0.2500, 0.7500, 0.5000) and P at (0.2500, 0.2500, 0.6961).

As for the volume: 101 Å³ per cell. The value obtained for the formation enthalpy at 0 K is -918 meV/atom.

=====

This record from the Alexandria database describes a relaxed NiRuSe2 crystal. The functional is PBE.

It has space group R-3m (No. 166, hexagonal axes), with a = 3.2336 Å, b = 3.2336 Å, c = 23.0886 Å, α = 90.00°, β = 90.00° and γ = 120.00°. Symmetry generates all atoms from Ni at (0.0000, 0.0000, 0.0000), Ru at (0.0000, 0.0000, 0.5000) and Se at (0.0000, 0.0000, 0.3977).

As for the volume: 209 Å³ per cell. The formation energy (no corrections) comes out at 0.234 eV per atom.

=====

This record from the Alexandria database describes a relaxed Hg2Bi3Au2 crystal. The functional is PBE.

It has space group P-1 (No. 2), with a = 4.2391 Å, b = 6.0819 Å, c = 8.2399 Å, α = 76.44°, β = 79.09° and γ = 70.21°. Symmetry generates all atoms from Hg at (0.1487, 0.1480, 0.1060), Bi at (0.0000, 0.0000, 0.5000), Bi at (0.3191, 0.5799, 0.1941) and Au at (0.3035, 0.3392, 0.5711).

As for the volume: 193 Å³ per cell. The value obtained for the formation enthalpy at 0 K is 75 meV/atom.

=====

This record from the Alexandria database describes a relaxed CaSc2As crystal. The functional is PBE.

It has space group R3m (No. 160, hexagonal axes), with a = 3.7773 Å, b = 3.7773 Å, c = 27.2735 Å, α = 90.00°, β = 90.00° and γ = 120.00°. Symmetry generates all atoms from Ca at (0.0000, 0.0000, 0.0000), Sc at (0.0000, 0.0000, 0.2196), Sc at (0.0000, 0.0000, 0.4567) and As at (0.0000, 0.0000, 0.7361).

As for the volume: 337 Å³ per cell. The value obtained for the formation enthalpy at 0 K is -387 meV/atom.

=====

This record from the Alexandria database describes a relaxed LiAsIrPd crystal. The functional is PBE.

It has space group F-43m (No. 216), with a = 6.0665 Å, b = 6.0665 Å, c = 6.0665 Å, α = 90.00°, β = 90.00° and γ = 90.00°. Symmetry generates all atoms from Li at (0.0000, 0.0000, 0.0000), As at (0.0000, 0.0000, 0.5000), Ir at (0.2500, 0.2500, 0.7500) and Pd at (0.2500, 0.2500, 0.2500).

As for the volume: 223 Å³ per cell. The value obtained for the formation enthalpy at 0 K is -289 meV/atom.

=====

This record from the Alexandria database describes a relaxed MnReRh2 crystal. The functional is PBE.

It has space group R-3m (No. 166, hexagonal axes), with a = 2.7607 Å, b = 2.7607 Å, c = 26.0004 Å, α = 90.00°, β = 90.00° and γ = 120.00°. Symmetry generates all atoms from Mn at (0.0000, 0.0000, 0.0000), Re at (0.0000, 0.0000, 0.5000) and Rh at (0.0000, 0.0000, 0.2507).

As for the volume: 172 Å³ per cell. The value obtained for the formation enthalpy at 0 K is -12 meV/atom.

=====

This record from the Alexandria database describes a relaxed AcZnGe2Ru crystal. The functional is PBE.

It has space group Pmma (No. 51), with a = 5.9499 Å, b = 5.9216 Å, c = 5.9634 Å, α = 90.00°, β = 90.00° and γ = 90.00°. Symmetry generates all atoms from Ac at (0.2500, 0.0000, 0.2281), Zn at (0.2500, 0.5000, 0.3719), Ge at (0.2500, 0.2611, 0.7448) and Ru at (0.0000, 0.5000, 0.0000).

As for the volume: 210 Å³ per cell. The value obtained for the formation enthalpy at 0 K is -391 meV/atom.

=====

This record from the Alexandria database describes a relaxed Sr2CaMg12Al3 crystal. The functional is PBE.

It has space group R-3m (No. 166, hexagonal axes), with a = 9.1736 Å, b = 9.1736 Å, c = 22.8238 Å, α = 90.00°, β = 90.00° and γ = 120.00°. Symmetry generates all atoms from Sr at (0.0000, 0.0000, 0.0835), Ca at (0.0000, 0.0000, 0.5000), Mg at (0.0814, 0.5407, 0.2785), Mg at (0.0880, 0.5440, 0.8757) and Al at (0.0000, 0.5000, 0.0000).

As for the volume: 1663 Å³ per cell. The value obtained for the formation enthalpy at 0 K is 301 meV/atom.

=====

This record from the Alexandria database describes a relaxed CaTcN2 crystal. The functional is PBE.

It has space group R-3m (No. 166, hexagonal axes), with a = 3.2815 Å, b = 3.2815 Å, c = 18.7047 Å, α = 90.00°, β = 90.00° and γ = 120.00°. Symmetry generates all atoms from Ca at (0.0000, 0.0000, 0.0000), Tc at (0.0000, 0.0000, 0.5000) and N at (0.0000, 0.0000, 0.1186).

As for the volume: 174 Å³ per cell. The formation energy (no corrections) comes out at 0.293 eV per atom.

=====

This record from the Alexandria database describes a relaxed K2PbCl8 crystal. The functional is PBE.

It has space group C2/m (No. 12), with a = 13.1098 Å, b = 8.9864 Å, c = 7.6438 Å, α = 90.00°, β = 120.02° and γ = 90.00°. Symmetry generates all atoms from K at (0.2357, 0.0000, 0.3446), Pb at (0.0000, 0.5000, 0.0000), Cl at (0.0835, 0.0000, 0.6237), Cl at (0.0838, 0.3000, 0.2793) and Cl at (0.1957, 0.5000, 0.9962).

As for the volume: 780 Å³ per cell. The formation energy (no corrections) comes out at -1.023 eV per atom.

=====

This record from the Alexandria database describes a relaxed YEr2InC crystal. The functional is PBE.

It has space group P4/mmm (No. 123), with a = 4.8725 Å, b = 4.8725 Å, c = 4.9241 Å, α = 90.00°, β = 90.00° and γ = 90.00°. Symmetry generates all atoms from Y at (0.0000, 0.0000, 0.0000), Er at (0.0000, 0.5000, 0.5000), In at (0.5000, 0.5000, 0.0000) and C at (0.0000, 0.0000, 0.5000).

As for the volume: 117 Å³ per cell. The value obtained for the formation enthalpy at 0 K is -538 meV/atom.

=====

This record from the Alexandria database describes a relaxed Zn2RuBr crystal. The functional is PBE.

It has space group Cmmm (No. 65), with a = 5.4777 Å, b = 7.7000 Å, c = 3.1238 Å, α = 90.00°, β = 90.00° and γ = 90.00°. Symmetry generates all atoms from Zn at (0.2500, 0.2500, 0.0000), Ru at (0.0000, 0.0000, 0.5000) and Br at (0.0000, 0.5000, 0.5000).

As for the volume: 132 Å³ per cell. The formation energy (no corrections) comes out at 0.330 eV per atom.